The following is a PBE with a Hubbard U calculation of BaVAgO4 after structural relaxation, from the Alexandria database.

```
7
Lattice="0.000 4.465 4.465 4.465 0.000 4.465 4.465 4.465 0.000" Properties=species:S:1:pos:R:3 pbc="T T T"
Ba 0.000 0.000 0.000
V 4.465 4.465 4.465
Ag 6.698 6.698 6.698
O 5.463 3.467 3.467
O 3.467 5.463 3.467
O 3.467 3.467 5.463
O 5.463 5.463 5.463
```

Calculated values
Crystal system: cubic
D(E_F) in states/eV per cell: 0.0
DFT total energy in Ha/atom: -0.223

The following is a PBE with a Hubbard U calculation of Ba3V2AgO8 after structural relaxation, from the Alexandria database.

```
14
Lattice="5.936 0.000 0.000 -2.968 5.141 0.000 0.000 0.000 7.817" Properties=species:S:1:pos:R:3 pbc="T T T"
Ba 0.000 0.000 0.000
Ba 0.000 3.427 5.106
Ba 2.968 1.714 2.711
V 0.000 3.427 1.551
V 2.968 1.714 6.266
Ag 0.000 0.000 3.908
O 0.000 1.787 2.244
O -1.420 4.247 2.244
O 0.000 3.427 7.616
O 1.548 0.894 5.572
O 1.420 4.247 2.244
O 2.968 1.714 0.200
O 4.388 0.894 5.572
O 2.968 3.354 5.572
```

Calculated values
Crystal system: trigonal
D(E_F) in states/eV per cell: 6.4
DFT total energy in Ha/atom: -0.246

The following is a PBE with a Hubbard U calculation of Ba3AgW2O9 after structural relaxation, from the Alexandria database.

```
15
Lattice="5.968 0.000 0.000 -2.984 5.168 0.000 0.000 0.000 7.472" Properties=species:S:1:pos:R:3 pbc="T T T"
Ba 0.000 0.000 0.000
Ba 0.000 3.445 4.961
Ba 2.984 1.723 2.512
Ag 0.000 0.000 3.736
W 0.000 3.445 1.203
W 2.984 1.723 6.270
O -1.492 2.584 0.000
O 0.000 1.844 2.224
O -1.387 4.246 2.224
O 1.597 0.922 5.248
O 2.984 0.000 0.000
O 1.492 2.584 0.000
O 1.387 4.246 2.224
O 4.371 0.922 5.248
O 2.984 3.324 5.248
```

Calculated values
Crystal system: trigonal
D(E_F) in states/eV per cell: 1.1
DFT total energy in Ha/atom: -0.247